Compound: U3H12Ru5
Source: Alexandria
Functional: PBE
Structure: relaxed

```
80
Lattice="-5.7465 5.7465 5.7465 5.7465 -5.7465 5.7465 5.7465 5.7465 -5.7465" Properties=species:S:1:pos:R:3 pbc="T T T"
U 2.8733 1.4366 0.0000
U 5.7465 2.8733 -1.4366
U 1.4366 0.0000 2.8733
U 7.1831 0.0000 2.8733
U 0.0000 2.8733 1.4366
U 2.8733 -1.4366 5.7465
U 2.8733 7.1831 0.0000
U 5.7465 2.8733 4.3099
U -1.4366 5.7465 2.8733
U 4.3099 5.7465 2.8733
U 0.0000 2.8733 7.1831
U 2.8733 4.3099 5.7465
H 1.5915 -0.4072 0.6555
H 7.0283 3.5288 -3.2804
H 5.3394 -0.6555 1.5915
H 9.0269 -1.2817 2.2178
H 7.3380 0.4072 0.6555
H 7.0283 -2.2178 3.2804
H 0.6555 1.5915 -0.4072
H 7.9643 2.4661 -1.2817
H 3.5288 3.2804 -1.2817
H 5.0910 1.5915 0.4072
H -0.4072 0.6555 1.5915
H 3.2804 -1.2817 3.5288
H 5.3394 5.0910 -1.5915
H 3.2804 1.2817 2.2178
H 5.0910 -1.5915 5.3394
H 3.5288 -3.2804 7.0283
H 2.2178 3.2804 1.2817
H 6.4020 4.1550 0.4072
H 1.5915 5.3394 -0.6555
H 7.0283 2.2178 2.4661
H 3.2804 7.0283 -2.2178
H 5.3394 0.6555 4.1550
H 1.2817 2.2178 3.2804
H 1.5915 0.4072 5.0910
H 4.1550 5.3394 0.6555
H 4.4648 3.5288 2.4661
H 0.4072 5.0910 1.5915
H 2.4661 -1.2817 7.9643
H -1.2817 3.5288 3.2804
H 4.1550 0.4072 6.4020
H -0.6555 1.5915 5.3394
H 3.5288 2.4661 4.4648
H 2.2178 9.0269 -1.2817
H 0.6555 7.3380 0.4072
H 2.4661 4.4648 3.5288
H 0.4072 0.6555 7.3380
H 2.4661 7.0283 2.2178
H 6.1537 5.0910 4.1550
H 0.6555 4.1550 5.3394
H 2.2178 2.4661 7.0283
H -2.2178 3.2804 7.0283
H 5.0910 4.1550 6.1537
H -1.2817 7.9643 2.4661
H -1.5915 5.3394 5.0910
H -3.2804 7.0283 3.5288
H 0.4072 6.4020 4.1550
H -1.2817 2.2178 9.0269
H 4.1550 6.1537 5.0910
Ru 0.0000 0.0000 0.0000
Ru 2.8733 2.8733 -2.8733
Ru 2.8733 -2.8733 2.8733
Ru 5.7465 0.0000 0.0000
Ru 8.6198 1.4366 0.0000
Ru 5.7465 -2.8733 4.3099
Ru 4.3099 5.7465 -2.8733
Ru 4.3099 0.0000 2.8733
Ru 2.8733 4.3099 0.0000
Ru 5.7465 2.8733 1.4366
Ru -2.8733 2.8733 2.8733
Ru 0.0000 5.7465 0.0000
Ru 0.0000 0.0000 5.7465
Ru 2.8733 2.8733 2.8733
Ru 0.0000 2.8733 4.3099
Ru 2.8733 1.4366 5.7465
Ru 1.4366 5.7465 2.8733
Ru 1.4366 0.0000 8.6198
Ru 0.0000 8.6198 1.4366
Ru -2.8733 4.3099 5.7465
```

Results
symmetry: Ia-3d
size of the total moment: 0.345 μB/atom
raw total energy: -6.048 eV/atom

***

Compound: Ba2ScNi
Source: Alexandria
Functional: PBE
Structure: relaxed

```
4
Lattice="3.6527 0.0000 0.0000 0.0000 3.6527 0.0000 0.0000 0.0000 9.9605" Properties=species:S:1:pos:R:3 pbc="T T T"
Ba 0.0000 0.0000 0.0000
Ba 1.8263 1.8263 3.8102
Sc 1.8263 1.8263 7.0693
Ni 0.0000 0.0000 6.1668
```

Results
symmetry: P4mm
size of the total moment: 0.000 μB/atom
excess energy over the best structure of this formula in the dataset: 0.000 eV/atom

***

Compound: NdMg2SiPd2
Source: Alexandria
Functional: PBE
Structure: relaxed

```
12
Lattice="4.9369 0.0000 0.0000 0.0000 4.9369 0.0000 0.0000 0.0000 11.1543" Properties=species:S:1:pos:R:3 pbc="T T T"
Nd 0.0000 0.0000 0.0000
Nd 2.4684 2.4684 5.5771
Mg 0.0000 2.4684 2.7886
Mg 0.0000 2.4684 8.3657
Mg 2.4684 0.0000 2.7886
Mg 2.4684 0.0000 8.3657
Si 0.0000 0.0000 5.5771
Si 2.4684 2.4684 0.0000
Pd 0.0000 0.0000 3.3195
Pd 0.0000 0.0000 7.8347
Pd 2.4684 2.4684 2.2576
Pd 2.4684 2.4684 8.8967
```

Results
symmetry: I4/mmm
size of the total moment: 0.000 μB/atom
formation energy (no corrections): -365 meV/atom

***

Compound: Tl7HgAu2
Source: Alexandria
Functional: PBE
Structure: relaxed

```
10
Lattice="-2.5043 2.5043 11.6759 2.5043 -2.5043 11.6759 2.5043 2.5043 -11.6759" Properties=species:S:1:pos:R:3 pbc="T T T"
Tl 0.0000 0.0000 0.0000
Tl 2.5043 0.0000 2.3799
Tl 2.5043 0.0000 5.8379
Tl 2.5043 0.0000 9.2960
Tl 0.0000 2.5043 2.3799
Tl 0.0000 2.5043 5.8379
Tl 0.0000 2.5043 9.2960
Hg 0.0000 0.0000 11.6759
Au 0.0000 0.0000 4.1121
Au 0.0000 0.0000 19.2396
```

Results
symmetry: I4/mmm
size of the total moment: 0.000 μB/atom
excess energy over the best structure of this formula in the dataset: 0.000 eV/atom